(1)
{"formula": "SrCaW2", "functional": "GGA-PBEsol", "state": "relaxed", "cell": [[3.7247, 0.0000, 0.0000], [0.0000, 4.1645, 0.0000], [0.0000, 0.0000, 10.6299]], "species": ["Sr", "Sr", "Ca", "Ca", "W", "W", "W", "W"], "frac_coords": [[0.0000, 0.0000, 0.0000], [0.5000, 0.5000, 0.5000], [0.0000, 0.0000, 0.5000], [0.5000, 0.5000, 0.0000], [0.0000, 0.5000, 0.2482], [0.0000, 0.5000, 0.7518], [0.5000, 0.0000, 0.2518], [0.5000, 0.0000, 0.7482]], "crystal_system": "orthorhombic", "polymorph_energy_ev_per_atom": 0.5721}



(2)
{"formula": "SrCaW2", "functional": "GGA-PBEsol", "state": "relaxed", "cell": [[3.3806, 0.0000, 0.0000], [0.0000, 3.3806, 0.0000], [0.0000, 0.0000, 9.2769]], "species": ["Sr", "Ca", "W", "W"], "frac_coords": [[0.0000, 0.0000, 0.0000], [0.5000, 0.5000, 0.3873], [0.0000, 0.0000, 0.6278], [0.5000, 0.5000, 0.7376]], "crystal_system": "tetragonal", "polymorph_energy_ev_per_atom": 0.0000}



(3)
{"formula": "SrCaW2", "functional": "GGA-PBEsol", "state": "relaxed", "cell": [[3.4732, 0.0000, 0.0000], [0.0000, 5.4907, 0.0000], [0.0000, 0.0000, 10.3824]], "species": ["Sr", "Sr", "Ca", "Ca", "W", "W", "W", "W"], "frac_coords": [[0.0000, 0.0000, 0.0000], [0.5000, 0.5000, 0.5000], [0.0000, 0.5000, 0.2108], [0.5000, 0.0000, 0.7108], [0.0000, 0.0000, 0.4351], [0.0000, 0.5000, 0.7747], [0.5000, 0.0000, 0.2747], [0.5000, 0.5000, 0.9351]], "crystal_system": "orthorhombic", "polymorph_energy_ev_per_atom": 0.2804}



(4)
{"formula": "SrCaW2", "functional": "GGA-PBEsol", "state": "relaxed", "cell": [[8.4601, 0.0000, 0.0000], [0.0000, 3.1737, 0.0000], [-0.5625, 0.0000, 8.0375]], "species": ["Sr", "Sr", "Ca", "Ca", "W", "W", "W", "W"], "frac_coords": [[0.0000, 0.0000, 0.0000], [0.5000, 0.5000, 0.0000], [0.2766, 0.5000, 0.3952], [0.7766, 0.0000, 0.3952], [0.0243, 0.5000, 0.6323], [0.2468, 0.0000, 0.7369], [0.5243, 0.0000, 0.6323], [0.7468, 0.5000, 0.7369]], "crystal_system": "monoclinic", "polymorph_energy_ev_per_atom": 0.2358}



(5)
{"formula": "SrCa2Y", "functional": "GGA-PBEsol", "state": "relaxed", "cell": [[6.0841, 0.0000, 0.0000], [0.0000, 6.0841, 0.0000], [0.0000, 0.0000, 4.1728]], "species": ["Sr", "Ca", "Ca", "Y"], "frac_coords": [[0.0000, 0.0000, 0.0000], [0.0000, 0.5000, 0.5000], [0.5000, 0.0000, 0.5000], [0.5000, 0.5000, 0.0000]], "crystal_system": "tetragonal", "polymorph_energy_ev_per_atom": 0.0476}



(6)
{"formula": "SrCa2Y", "functional": "GGA-PBEsol", "state": "relaxed", "cell": [[4.2467, 0.0000, 0.0000], [0.0000, 6.0430, 0.0000], [0.0000, 0.0000, 12.1501]], "species": ["Sr", "Sr", "Ca", "Ca", "Ca", "Ca", "Y", "Y"], "frac_coords": [[0.0000, 0.0000, 0.0000], [0.5000, 0.5000, 0.0000], [0.0000, 0.5000, 0.2671], [0.0000, 0.5000, 0.7329], [0.5000, 0.0000, 0.2671], [0.5000, 0.0000, 0.7329], [0.0000, 0.0000, 0.5000], [0.5000, 0.5000, 0.5000]], "crystal_system": "orthorhombic", "polymorph_energy_ev_per_atom": 0.0168}



(7)
{"formula": "SrCa4Y", "functional": "GGA-PBEsol", "state": "relaxed", "cell": [[0.0000, 4.9944, 4.9944], [4.9944, 0.0000, 4.9944], [4.9944, 4.9944, 0.0000]], "species": ["Sr", "Ca", "Ca", "Ca", "Ca", "Y"], "frac_coords": [[0.0000, 0.0000, 0.0000], [0.1280, 0.6240, 0.6240], [0.6240, 0.1280, 0.6240], [0.6240, 0.6240, 0.1280], [0.6240, 0.6240, 0.6240], [0.2500, 0.2500, 0.2500]], "crystal_system": "cubic"}



(8)
{"formula": "Sr2CaY", "functional": "GGA-PBEsol", "state": "relaxed", "cell": [[3.8770, 0.0000, 0.0000], [0.0000, 3.8770, 0.0000], [0.0000, 0.0000, 11.2060]], "species": ["Sr", "Sr", "Ca", "Y"], "frac_coords": [[0.0000, 0.0000, 0.2366], [0.0000, 0.0000, 0.7634], [0.5000, 0.5000, 0.5000], [0.5000, 0.5000, 0.0000]], "crystal_system": "tetragonal"}



Number 1: total magnetization 0.0 μB/f.u., formation energy 1.192 eV/atom. Number 2: total magnetization 0.0 μB/f.u., formation energy 0.620 eV/atom. Number 3: total magnetization 0.0 μB/f.u., formation energy 0.900 eV/atom. Number 4: total magnetization 0.0 μB/f.u., formation energy 0.856 eV/atom. Number 5: total magnetization 0.0 μB/f.u., formation energy 0.148 eV/atom. Number 6: total magnetization 0.0 μB/f.u., formation energy 0.117 eV/atom. Number 7: total magnetization 1.7 μB/f.u., formation energy 0.219 eV/atom. Number 8: total magnetization 1.0 μB/f.u., formation energy 0.147 eV/atom.